1.
Crystalline MgTa2Tc at its relaxed geometry. Source: Alexandria, functional GGA-PBE.

Properties
- Calculated formation energy: 254 meV/atom

Structure (CIF):
```
data_MgTa2Tc
_cell_length_a 2.766
_cell_length_b 2.766
_cell_length_c 9.219
_cell_angle_alpha 90.00
_cell_angle_beta 90.00
_cell_angle_gamma 90.00
_space_group_name_H-M_alt 'P 4 m m'
_space_group_IT_number 99
loop_
_space_group_symop_operation_xyz
'x,y,z'
'-y,x,z'
'-x,-y,z'
'y,-x,z'
'-x,y,z'
'y,x,z'
'x,-y,z'
'-y,-x,z'
loop_
_atom_site_label
_atom_site_fract_x
_atom_site_fract_y
_atom_site_fract_z
_atom_site_occupancy
Mg1 0.000 0.000 0.000 1
Ta1 0.000 0.000 0.522 1
Ta2 0.500 0.500 0.270 1
Tc1 0.500 0.500 0.764 1
```

---

2.
Crystalline Mg4TaTc at its relaxed geometry. Source: Alexandria, functional GGA-PBE.

Properties
- Calculated formation energy: 533 meV/atom

Structure (CIF):
```
data_Mg4TaTc
_cell_length_a 7.555
_cell_length_b 7.555
_cell_length_c 7.555
_cell_angle_alpha 90.00
_cell_angle_beta 90.00
_cell_angle_gamma 90.00
_space_group_name_H-M_alt 'F -4 3 m'
_space_group_IT_number 216
_space_group_name_Hall 'F -4 2 3'
loop_
_atom_site_label
_atom_site_fract_x
_atom_site_fract_y
_atom_site_fract_z
_atom_site_occupancy
Mg1 0.125 0.125 0.125 1
Ta1 0.250 0.250 0.750 1
Tc1 0.000 0.000 0.500 1
```

---

3.
Crystalline MgTaTc at its relaxed geometry. Source: Alexandria, functional GGA-PBE.

Properties
- Calculated formation energy: 350 meV/atom
- Relative energy among the computed polymorphs: 349 meV per atom

Structure (CIF):
```
data_MgTaTc
_cell_length_a 2.742
_cell_length_b 2.742
_cell_length_c 13.797
_cell_angle_alpha 90.00
_cell_angle_beta 90.00
_cell_angle_gamma 90.00
_space_group_name_H-M_alt 'I 4 m m'
_space_group_IT_number 107
_space_group_name_Hall 'I 4 -2'
loop_
_atom_site_label
_atom_site_fract_x
_atom_site_fract_y
_atom_site_fract_z
_atom_site_occupancy
Mg1 0.000 0.000 0.000 1
Ta1 0.000 0.000 0.678 1
Tc1 0.000 0.000 0.341 1
```

---

4.
Crystalline MgTa2Tc2 at its relaxed geometry. Source: Alexandria, functional GGA-PBE.

Properties
- Calculated formation energy: 522 meV/atom
- Relative energy among the computed polymorphs: 454 meV per atom

Structure (CIF):
```
data_MgTa2Tc2
_cell_length_a 4.199
_cell_length_b 4.199
_cell_length_c 11.520
_cell_angle_alpha 90.00
_cell_angle_beta 90.00
_cell_angle_gamma 90.00
_space_group_name_H-M_alt 'I 4/m m m'
_space_group_IT_number 139
_space_group_name_Hall '-I 4 2'
loop_
_atom_site_label
_atom_site_fract_x
_atom_site_fract_y
_atom_site_fract_z
_atom_site_occupancy
Mg1 0.000 0.000 0.000 1
Ta1 0.000 0.000 0.376 1
Tc1 0.000 0.500 0.250 1
```